P.
A plane-wave DFT calculation with PBE was carried out for crystalline Rb2AlSb2 at its relaxed geometry.

Values from the calculation:
Space group = P4/mbm (127)

a b c (Å): 7.655 7.655 6.062
angles (deg): 90.00 90.00 90.00
Fractional coordinates of all 10 atoms:
Sb (0.143, 0.357, 0.000)
Sb (0.357, 0.857, 0.000)
Sb (0.643, 0.143, 0.000)
Sb (0.857, 0.643, 0.000)
Rb (0.332, 0.168, 0.500)
Rb (0.168, 0.668, 0.500)
Rb (0.668, 0.832, 0.500)
Rb (0.832, 0.332, 0.500)
Al (0.000, 0.000, 0.000)
Al (0.500, 0.500, 0.000)



Q.
A plane-wave DFT calculation with PBE was carried out for crystalline Rb2AlSb2 at its relaxed geometry.

Values from the calculation:
Space group = C2/m (12)

a b c (Å): 7.063 8.634 13.244
angles (deg): 134.33 90.00 114.14
Fractional coordinates of all 10 atoms:
Rb (0.704, 0.408, 0.563)
Rb (0.882, 0.765, 0.134)
Rb (0.118, 0.235, 0.866)
Rb (0.296, 0.592, 0.437)
Sb (0.121, 0.241, 0.550)
Sb (0.879, 0.759, 0.450)
Sb (0.533, 0.067, 0.868)
Sb (0.467, 0.933, 0.132)
Al (0.648, 0.295, 0.152)
Al (0.352, 0.705, 0.848)



R.
A plane-wave DFT calculation with PBE was carried out for crystalline Rb2AlSb2 at its relaxed geometry.

Values from the calculation:
Space group = I4_1/amd (141)

a b c (Å): 4.507 4.507 22.206
angles (deg): 95.82 95.82 90.00
Fractional coordinates of all 10 atoms:
Sb (0.786, 0.786, 0.571)
Sb (0.464, 0.964, 0.929)
Sb (0.036, 0.536, 0.071)
Sb (0.214, 0.214, 0.429)
Rb (0.324, 0.324, 0.647)
Rb (0.574, 0.074, 0.147)
Rb (0.926, 0.426, 0.853)
Rb (0.676, 0.676, 0.353)
Al (0.500, 0.500, 0.000)
Al (0.750, 0.250, 0.500)



Q: Which of them is the most stable? A: Q.